SrReTe2 | PBE | optimized geometry

DFT total energy: -21.44 eV/cell
Distance to the lowest polymorph of the same formula: 0 kJ/mol of formula units
Formation energy without anion corrections: -0.26 eV per atom
Symmetry: No. 166
Magnetization: 0.00 μB/f.u.

a b c (Å): 4.340 4.340 6.999
angles (deg): 71.95 71.95 59.99
Element x y z (fractional)
Re1 0.750 0.750 0.750
Sr1 0.250 0.250 0.250
Te1 0.023 0.023 0.931
Te2 0.477 0.477 0.569